No. 1
AcNiHPb | PBE | optimized geometry

## Properties
Total magnetic moment   0.00 μB per cell
Theoretical density   9.683 g cm⁻³
Raw total energy   -4.6287 eV/atom

Cell: 4.5439 4.5469 4.7326 Å, 90.01 90.00 119.98°
With the nearest neighbours (Å) after each atom.
Element x y z (fractional)
Ac (0.5721, 0.1441, 0.3075)  3 H 2.65
Ni (0.2382, 0.4764, 0.8997)  1 H 1.57
H (0.2389, 0.4778, 0.2324)  1 Ni 1.57
Pb (0.9052, 0.8103, 0.7996)  3 Ni 2.67

No. 2
AcNi2H6Pb | PBE | optimized geometry

## Properties
Total magnetic moment   0.00 μB per cell
Theoretical density   8.171 g cm⁻³
Raw total energy   -4.1815 eV/atom

Cell: 7.3265 7.3265 4.5422 Å, 84.78 84.78 109.71°
With the nearest neighbours (Å) after each atom.
Element x y z (fractional)
Ac (0.1662, 0.8338, 0.2500)  10 H 2.51-2.70
Ac (0.8338, 0.1662, 0.7500)  10 H 2.51-2.70
Ni (0.3260, 0.1831, 0.7198)  4 H 1.55-1.65
Ni (0.8169, 0.6740, 0.7802)  4 H 1.55-1.65
Ni (0.6740, 0.8169, 0.2802)  4 H 1.55-1.65
Ni (0.1831, 0.3260, 0.2198)  4 H 1.55-1.65
H (0.9678, 0.3098, 0.2008)  1 Ni 1.55
H (0.6902, 0.0322, 0.2992)  1 Ni 1.55
H (0.0322, 0.6902, 0.7992)  1 Ni 1.55
H (0.3098, 0.9678, 0.7008)  1 Ni 1.55
H (0.1548, 0.1613, 0.9960)  2 Ni 1.62-1.65
H (0.8387, 0.8452, 0.5040)  2 Ni 1.62-1.65
H (0.8452, 0.8387, 0.0040)  2 Ni 1.62-1.65
H (0.1613, 0.1548, 0.4960)  2 Ni 1.62-1.65
H (0.1722, 0.4887, 0.4077)  1 Ni 1.55
H (0.5113, 0.8278, 0.0923)  1 Ni 1.55
H (0.8278, 0.5113, 0.5923)  1 Ni 1.55
H (0.4887, 0.1722, 0.9077)  1 Ni 1.55
Pb (0.5981, 0.4019, 0.2500)  2 H 2.38
Pb (0.4019, 0.5981, 0.7500)  2 H 2.38

No. 3
AcNiH6Pd2 | PBE | optimized geometry

## Properties
Total magnetic moment   0.00 μB per cell
Theoretical density   8.019 g cm⁻³
Raw total energy   -4.3495 eV/atom

Cell: 4.9087 4.8409 5.9012 Å, 85.87 117.43 120.74°
With the nearest neighbours (Å) after each atom.
Element x y z (fractional)
Ac (0.0561, 0.5446, 0.5435)  9 H 2.57-2.82
Ni (0.9992, 0.9980, 0.9691)  6 H 1.66-1.72
H (0.6979, 0.0729, 0.7450)  1 Ni 1.66, 1 Pd 1.77
H (0.3409, 0.0015, 0.2389)  1 Ni 1.69, 1 Pd 1.75
H (0.7564, 0.7088, 0.0993)  1 Ni 1.72, 1 Pd 1.75
H (0.1351, 0.3441, 0.1523)  1 Ni 1.70, 1 Pd 1.80
H (0.7168, 0.6399, 0.7345)  1 Ni 1.72, 1 Pd 1.77
H (0.1629, 0.0953, 0.7575)  1 Ni 1.70, 1 Pd 1.76
Pd (0.4593, 0.7556, 0.1552)  3 H 1.75-1.80
Pd (0.6411, 0.3168, 0.9073)  4 H 1.76-1.96

No. 4
Ac2NiHPd6 | PBE | optimized geometry

## Properties
Total magnetic moment   0.21 μB per cell
Theoretical density   10.439 g cm⁻³
Raw total energy   -5.3939 eV/atom

Cell: 6.3745 6.3734 6.3804 Å, 60.00 60.00 90.00°
With the nearest neighbours (Å) after each atom.
Element x y z (fractional)
Ac (0.7499, 0.2502, 0.4999)  12 Pd 3.19-3.20
Ac (0.2501, 0.7498, 0.5001)  12 Pd 3.19-3.20
Ni (0.0000, 0.0000, 0.0000)  6 Pd 2.47-2.48
H (0.5000, 0.5000, 0.0000)  6 Pd 2.03-2.04
Pd (0.2742, 0.2742, 0.4512)  1 H 2.04
Pd (0.7258, 0.7258, 0.9995)  1 H 2.03
Pd (0.2745, 0.7255, 0.0000)  1 H 2.03
Pd (0.7255, 0.2745, 0.0000)  1 H 2.03
Pd (0.2742, 0.2742, 0.0005)  1 H 2.03
Pd (0.7258, 0.7258, 0.5488)  1 H 2.04

No. 5
AcPmNi2H6 | PBE | optimized geometry

## Properties
Total magnetic moment   0.61 μB per cell
Theoretical density   6.844 g cm⁻³
Raw total energy   -4.4154 eV/atom

Cell: 4.7601 4.7601 6.7142 Å, 69.24 69.24 60.00°
With the nearest neighbours (Å) after each atom.
Element x y z (fractional)
Ac (0.0000, 0.0000, 0.0000)  12 H 2.67
Pm (0.5000, 0.5000, 0.5000)  6 H 2.30
Ni (0.7744, 0.7744, 0.6767)  3 H 1.59
Ni (0.2256, 0.2256, 0.3233)  3 H 1.59
H (0.0690, 0.5637, 0.8036)  1 Ni 1.59
H (0.5637, 0.0690, 0.8036)  1 Ni 1.59
H (0.4363, 0.4363, 0.1964)  1 Ni 1.59
H (0.9310, 0.4363, 0.1964)  1 Ni 1.59
H (0.4363, 0.9310, 0.1964)  1 Ni 1.59
H (0.5637, 0.5637, 0.8036)  1 Ni 1.59

No. 6
AcPrNi2H8 | PBE | optimized geometry

## Properties
Total magnetic moment   0.00 μB per cell
Theoretical density   6.392 g cm⁻³
Raw total energy   -4.2546 eV/atom

Cell: 4.5940 4.5940 7.4976 Å, 72.16 72.16 60.00°
With the nearest neighbours (Å) after each atom.
Element x y z (fractional)
Ac (0.5000, 0.5000, 0.5000)  12 H 2.61-2.66
Pr (0.0000, 0.0000, 0.0000)  12 H 2.59
Ni (0.2500, 0.2500, 0.2501)  4 H 1.56-1.60
Ni (0.7500, 0.7500, 0.7499)  4 H 1.56-1.60
H (0.1740, 0.1740, 0.4780)  1 Ni 1.60
H (0.4601, 0.4601, 0.1686)  1 Ni 1.56
H (0.8260, 0.8260, 0.5220)  1 Ni 1.60
H (0.9112, 0.4601, 0.1686)  1 Ni 1.56
H (0.0888, 0.5399, 0.8314)  1 Ni 1.56
H (0.4601, 0.9112, 0.1686)  1 Ni 1.56
H (0.5399, 0.0888, 0.8314)  1 Ni 1.56
H (0.5399, 0.5399, 0.8314)  1 Ni 1.56

No. 7
AcNi2H8Rh | PBE | optimized geometry

## Properties
Total magnetic moment   0.00 μB per cell
Theoretical density   7.164 g cm⁻³
Raw total energy   -4.4013 eV/atom

Cell: 4.6689 4.6689 6.2065 Å, 67.91 67.91 60.00°
With the nearest neighbours (Å) after each atom.
Element x y z (fractional)
Ac (0.5000, 0.5000, 0.5000)  12 H 2.52-2.75
Ni (0.2944, 0.2944, 0.1167)  4 H 1.60-1.66
Ni (0.7056, 0.7056, 0.8833)  4 H 1.60-1.66
H (0.1989, 0.1989, 0.4034)  1 Ni 1.60
H (0.6352, 0.3074, 0.1303)  1 Ni 1.66, 1 Rh 1.73
H (0.8011, 0.8011, 0.5966)  1 Ni 1.60
H (0.9272, 0.6352, 0.1303)  1 Ni 1.66, 1 Rh 1.73
H (0.0728, 0.3648, 0.8697)  1 Ni 1.66, 1 Rh 1.73
H (0.3074, 0.9272, 0.1303)  1 Ni 1.66, 1 Rh 1.73
H (0.6926, 0.0728, 0.8697)  1 Ni 1.66, 1 Rh 1.73
H (0.3648, 0.6926, 0.8697)  1 Ni 1.66, 1 Rh 1.73
Rh (0.0000, 0.0000, 0.0000)  6 H 1.73

No. 8
AcNiH8Rh2 | PBE | optimized geometry

## Properties
Total magnetic moment   0.00 μB per cell
Theoretical density   7.484 g cm⁻³
Raw total energy   -4.5529 eV/atom

Cell: 4.7062 4.7062 6.3858 Å, 68.38 68.38 60.00°
With the nearest neighbours (Å) after each atom.
Element x y z (fractional)
Ac (0.5000, 0.5000, 0.5000)  12 H 2.59-2.77
Ni (0.0000, 0.0000, 0.0000)  6 H 1.70
H (0.1968, 0.1968, 0.4095)  1 Rh 1.71
H (0.6546, 0.2977, 0.1296)  1 Ni 1.70, 1 Rh 1.74
H (0.8032, 0.8032, 0.5905)  1 Rh 1.71
H (0.9181, 0.6546, 0.1296)  1 Ni 1.70, 1 Rh 1.74
H (0.0819, 0.3454, 0.8704)  1 Ni 1.70, 1 Rh 1.74
H (0.2977, 0.9181, 0.1296)  1 Ni 1.70, 1 Rh 1.74
H (0.7023, 0.0819, 0.8704)  1 Ni 1.70, 1 Rh 1.74
H (0.3454, 0.7023, 0.8704)  1 Ni 1.70, 1 Rh 1.74
Rh (0.2956, 0.2956, 0.1131)  4 H 1.71-1.74
Rh (0.7044, 0.7044, 0.8869)  4 H 1.71-1.74

No. 9
AcNiH6Ru | PBE | optimized geometry

## Properties
Total magnetic moment   1.20 μB per cell
Theoretical density   7.381 g cm⁻³
Raw total energy   -4.6629 eV/atom

Cell: 4.7285 4.7286 4.5640 Å, 90.00 90.00 60.00°
With the nearest neighbours (Å) after each atom.
Element x y z (fractional)
Ac (0.0000, 0.0000, 0.0000)  12 H 2.65-2.66
Ni (0.6666, 0.6667, 0.5000)  6 H 1.74
H (0.0001, 0.5003, 0.2641)  1 Ru 1.74, 1 Ni 1.74
H (0.5002, 0.0001, 0.7359)  1 Ru 1.74, 1 Ni 1.74
H (0.4996, 0.5003, 0.7359)  1 Ru 1.74, 1 Ni 1.74
H (0.0001, 0.4996, 0.7358)  1 Ru 1.74, 1 Ni 1.74
H (0.5003, 0.4996, 0.2641)  1 Ru 1.74, 1 Ni 1.74
H (0.4996, 0.0001, 0.2641)  1 Ru 1.74, 1 Ni 1.74
Ru (0.3334, 0.3333, 0.5000)  6 H 1.74

No. 10
AcNi2SbH2 | PBE | optimized geometry

## Properties
Total magnetic moment   0.00 μB per cell
Theoretical density   7.492 g cm⁻³
Raw total energy   -4.8026 eV/atom

Cell: 4.9300 6.9282 6.9473 Å, 119.00 90.00 90.00°
With the nearest neighbours (Å) after each atom.
Element x y z (fractional)
Ac (0.7500, 0.3479, 0.6506)  2 H 2.69
Ac (0.2500, 0.6521, 0.3494)  2 H 2.69
Ni (0.4997, 0.1827, 0.1833)  2 H 1.65
Ni (0.0003, 0.1827, 0.1833)  2 H 1.65
Ni (0.9997, 0.8173, 0.8167)  2 H 1.65
Ni (0.5003, 0.8173, 0.8167)  2 H 1.65
Sb (0.2500, 0.1588, 0.8435)  4 Ni 2.59-2.60
Sb (0.7500, 0.8412, 0.1565)  4 Ni 2.59-2.60
H (0.2500, 0.2709, 0.3645)  2 Ni 1.65
H (0.2500, 0.6364, 0.7290)  2 Ni 1.65
H (0.7500, 0.7291, 0.6355)  2 Ni 1.65
H (0.7500, 0.3636, 0.2710)  2 Ni 1.65

Number 2 is which compound? AcNi2H6Pb

Look up the theoretical density of the first one. 9.683 g cm⁻³